Material: CsNaAg
Method: DFT, PBE
State: relaxed

Cell: 5.4932 5.4932 8.4594 Å, 90.00 90.00 90.00°
Fractional positions:
Cs: 0.2500 0.2500 0.1515
Cs: 0.7500 0.7500 0.8485
Na: 0.2500 0.7500 0.5000
Na: 0.7500 0.2500 0.5000
Ag: 0.2500 0.2500 0.6811
Ag: 0.7500 0.7500 0.3189

Results
* total magnetic moment: 0.00 Bohr magnetons per cell
* calculated formation energy: 0.03 eV per atom
* total DFT energy (no corrections): -9.839 eV/cell